1.
# Cd2FeAgH

A relaxed structure of Cd2FeAgH (PBE, Alexandria).

```
Cd2FeAgH
1.0
-1.837 0.439 -4.905
-2.190 -2.059 0.636
-3.196 3.877 1.544
Cd Fe H Ag
2 1 1 1
Direct
0.000 0.000 0.500 Cd
0.500 0.000 0.000 Cd
0.000 0.000 0.000 Fe
0.000 0.500 0.000 H
0.500 0.500 0.500 Ag
```

## Properties
SG = P4/mmm, No. 123
volume = 84.90 Å³/cell
spin magnetization = 0.461 μB per atom
raw total energy = -14.51 eV for the cell shown
Fermi-level density of states = 2.34 states/eV/f.u.


2.
# SmBeNiGe2

A relaxed structure of SmBeNiGe2 (PBE, Alexandria).

```
SmBeNiGe2
1.0
4.001 0.000 0.000
0.000 4.001 0.000
-2.000 -2.000 5.079
Sm Ni Be Ge
1 1 1 2
Direct
0.000 0.000 0.000 Sm
0.250 0.750 0.500 Ni
0.750 0.250 0.500 Be
0.627 0.627 0.253 Ge
0.373 0.373 0.747 Ge
```

## Properties
SG = I-4m2, No. 119
ΔE_f = -0.5901 eV per atom
volume = 81.28 Å³/cell
spin magnetization = 0.000 μB per atom
Fermi-level density of states = 1.16 states/eV/f.u.


3.
# YIO2

A relaxed structure of YIO2 (PBE, Alexandria).

```
YIO2
1.0
6.053 0.000 0.000
0.000 6.053 0.000
3.027 3.027 5.183
O Y I
4 2 2
Direct
0.511 0.125 0.250 O
0.875 0.761 0.750 O
0.239 0.625 0.250 O
0.375 0.489 0.750 O
0.250 0.750 0.500 Y
0.500 0.500 0.000 Y
0.750 0.250 0.500 I
0.000 0.000 0.000 I
```

## Properties
SG = I-42d, No. 122
distance to the lowest polymorph of the same formula = 514 meV/atom
volume = 189.92 Å³/cell
spin magnetization = 0.500 μB per atom
Fermi-level density of states = 1.24 states/eV/f.u.


4.
# PaNi6Sn2

A relaxed structure of PaNi6Sn2 (PBE, Alexandria).

```
PaNi6Sn2
1.0
3.361 0.000 0.000
1.680 6.998 1.501
1.680 2.853 6.564
Sn Ni Pa
2 6 1
Direct
0.142 0.358 0.358 Sn
0.858 0.642 0.642 Sn
0.500 0.315 0.685 Ni
0.677 0.636 0.010 Ni
0.677 0.010 0.636 Ni
0.323 0.364 0.990 Ni
0.500 0.685 0.315 Ni
0.323 0.990 0.364 Ni
0.000 0.000 0.000 Pa
```

## Properties
SG = Immm, No. 71
ΔE_f = -0.1298 eV per atom
volume = 139.99 Å³/cell
spin magnetization = 0.000 μB per atom
Fermi-level density of states = 8.70 states/eV/f.u.


Question: Number 4 is which compound?
Answer: PaNi6Sn2